VASP calculation (GGA-PBE) on an optimized crystal structure of SmGaPbO4.

```
SmGaPbO4
1.0
6.057 0.000 0.000
0.000 5.847 0.000
-1.277 0.000 7.038
Sm Ga Pb O
2 2 2 8
Direct
0.191 0.250 0.081
0.809 0.750 0.919
0.296 0.750 0.845
0.704 0.250 0.155
0.303 0.250 0.632
0.697 0.750 0.368
0.090 0.507 0.825
0.090 0.993 0.825
0.480 0.750 0.084
0.497 0.750 0.680
0.503 0.250 0.320
0.520 0.250 0.916
0.910 0.007 0.175
0.910 0.493 0.175
```

- total DFT energy (no corrections) (eV for the cell shown) = -92.00
- density of states at the Fermi level (states/eV/cell) = 0.00
- space group = P2_1/m
- ΔE_f (raw) (eV/atom) = -2.102

---

VASP calculation (GGA-PBE) on an optimized crystal structure of AcTmScAg.

```
AcTmScAg
1.0
7.637 0.000 0.000
0.000 7.637 0.000
0.000 0.000 7.637
Ac Tm Sc Ag
4 4 4 4
Direct
0.000 0.000 0.000
0.000 0.500 0.500
0.500 0.000 0.500
0.500 0.500 0.000
0.250 0.250 0.750
0.250 0.750 0.250
0.750 0.250 0.250
0.750 0.750 0.750
0.250 0.250 0.250
0.250 0.750 0.750
0.750 0.250 0.750
0.750 0.750 0.250
0.000 0.000 0.500
0.000 0.500 0.000
0.500 0.000 0.000
0.500 0.500 0.500
```

- total DFT energy (no corrections) (eV for the cell shown) = -67.62
- density of states at the Fermi level (states/eV/cell) = 27.74
- space group = F-43m

---

VASP calculation (GGA-PBE) on an optimized crystal structure of Sm2Zn5Ga.

```
Sm2Zn5Ga
1.0
2.208 -8.075 0.000
2.208 8.075 0.000
0.000 0.000 8.840
Sm Zn Ga
4 10 2
Direct
0.000 0.000 0.000
0.000 0.000 0.500
0.203 0.797 0.750
0.797 0.203 0.250
0.186 0.814 0.107
0.186 0.814 0.393
0.350 0.650 0.022
0.350 0.650 0.478
0.402 0.598 0.750
0.598 0.402 0.250
0.650 0.350 0.522
0.650 0.350 0.978
0.814 0.186 0.607
0.814 0.186 0.893
0.444 0.556 0.250
0.556 0.444 0.750
```

- total DFT energy (no corrections) (eV for the cell shown) = -44.15
- density of states at the Fermi level (states/eV/cell) = 10.72
- space group = Cmcm

---

VASP calculation (GGA-PBE) on an optimized crystal structure of Cs3Rb3HgF8.

```
Cs3Rb3HgF8
1.0
4.072 2.351 6.844
-4.072 2.351 6.844
0.000 -4.702 6.844
Cs Rb Hg F
3 3 1 8
Direct
0.000 0.500 0.500
0.500 0.000 0.500
0.500 0.500 0.000
0.000 0.000 0.500
0.000 0.500 0.000
0.500 0.000 0.000
0.500 0.500 0.500
0.244 0.244 0.244
0.285 0.706 0.706
0.294 0.294 0.715
0.294 0.715 0.294
0.706 0.285 0.706
0.706 0.706 0.285
0.715 0.294 0.294
0.756 0.756 0.756
```

- total DFT energy (no corrections) (eV for the cell shown) = -57.34
- density of states at the Fermi level (states/eV/cell) = 0.00
- space group = R-3m
- ΔE_f (raw) (eV/atom) = -2.440

---

Repeat the fourth record exactly.
VASP calculation (GGA-PBE) on an optimized crystal structure of Cs3Rb3HgF8.

```
Cs3Rb3HgF8
1.0
4.072 2.351 6.844
-4.072 2.351 6.844
0.000 -4.702 6.844
Cs Rb Hg F
3 3 1 8
Direct
0.000 0.500 0.500
0.500 0.000 0.500
0.500 0.500 0.000
0.000 0.000 0.500
0.000 0.500 0.000
0.500 0.000 0.000
0.500 0.500 0.500
0.244 0.244 0.244
0.285 0.706 0.706
0.294 0.294 0.715
0.294 0.715 0.294
0.706 0.285 0.706
0.706 0.706 0.285
0.715 0.294 0.294
0.756 0.756 0.756
```

- total DFT energy (no corrections) (eV for the cell shown) = -57.34
- density of states at the Fermi level (states/eV/cell) = 0.00
- space group = R-3m
- ΔE_f (raw) (eV/atom) = -2.440

---

Which formula does entry 3 have? Sm2Zn5Ga